CeDyHoHg | GGA-PBE | relaxed

Structure (POSCAR):
```
CeDyHoHg
1.0
0.0000 3.7566 3.7566
3.7566 0.0000 3.7566
3.7566 3.7566 0.0000
Ce Dy Ho Hg
1 1 1 1
Cartesian
0.0000 0.0000 0.0000
1.8783 1.8783 1.8783
5.6349 5.6349 5.6349
3.7566 3.7566 3.7566
```

**Total magnetization**: 0.80 μB/cell
**ρ**: 10.464 g cm⁻³
**E**: -15.36 eV/f.u.
**SG**: F-43m (216)
**Crystal system**: cubic
**ΔH_f (0 K)**: 14 meV/atom

=====

Y2ScI | GGA-PBE | relaxed

Structure (POSCAR):
```
Y2ScI
1.0
1.7963 1.0371 11.1742
-1.7963 1.0371 11.1742
0.0000 -2.0742 11.1742
Y Sc I
2 1 1
Cartesian
0.0000 0.0000 3.0951
0.0000 0.0000 30.4273
0.0000 0.0000 0.0000
0.0000 0.0000 16.7612
```

**Formation energy without anion corrections**: 0.15 eV per formula unit
**Total magnetization**: 1.46 μB/cell
**ρ**: 4.649 g cm⁻³
**E**: -20.66 eV/f.u.
**SG**: R-3m (166)
**Crystal system**: trigonal
**Polymorph energy (0 for the lowest one)**: 293 meV per atom